Below is Li3CaBr after structural relaxation, with properties calculated at the PBEsol level.

Cell lengths 5.1352, 5.1352, 5.1352 Å; angles 90.00, 90.00, 90.00 degrees
Last column: nearest neighbours and their distance in Å.
Positions (direct):
Br: 0.0000 0.0000 0.0000  6 Li 2.57
Li: 0.0000 0.0000 0.5000  2 Br 2.57
Li: 0.0000 0.5000 0.0000  2 Br 2.57
Li: 0.5000 0.0000 0.0000  2 Br 2.57
Ca: 0.5000 0.5000 0.5000  12 Li 3.63

Values from the calculation:
* M_tot: 0.00 Bohr magnetons per cell
* uncorrected formation energy: -0.353 eV/atom

---

Below is LiCaBr2 after structural relaxation, with properties calculated at the PBEsol level.

Cell lengths 4.0317, 5.8779, 5.7122 Å; angles 118.02, 90.00, 90.00 degrees
Last column: nearest neighbours and their distance in Å.
Positions (direct):
Br: 0.0000 0.8878 0.9390  2 Li 2.58, 2 Ca 2.88
Br: 0.5000 0.5710 0.2835  2 Li 2.77-2.94, 2 Ca 2.86
Ca: 0.0000 0.9628 0.4750  4 Br 2.86-2.88
Li: 0.5000 0.5783 0.8025  3 Br 2.58-2.77

Values from the calculation:
* M_tot: 0.90 Bohr magnetons per cell
* uncorrected formation energy: -1.321 eV/atom
* energy above the most stable polymorph in this dataset: 0 meV/atom

---

Below is LiCaBr2 after structural relaxation, with properties calculated at the PBEsol level.

Cell lengths 3.8476, 5.4653, 5.4653 Å; angles 69.27, 69.39, 69.39 degrees
Last column: nearest neighbours and their distance in Å.
Positions (direct):
Li: 0.0000 0.5000 0.5000  4 Br 2.62
Ca: 0.5000 0.0000 0.0000  4 Br 2.99
Br: 0.7180 0.2820 0.2820  2 Li 2.62
Br: 0.2820 0.7180 0.7180  2 Li 2.62

Values from the calculation:
* M_tot: 0.66 Bohr magnetons per cell
* uncorrected formation energy: -1.254 eV/atom
* energy above the most stable polymorph in this dataset: 67 meV/atom

---

Below is Li2CaBr after structural relaxation, with properties calculated at the PBEsol level.

Cell lengths 3.7797, 5.7675, 5.7981 Å; angles 119.84, 90.00, 90.00 degrees
Last column: nearest neighbours and their distance in Å.
Positions (direct):
Br: 0.5000 0.5000 0.5000  4 Li 2.64, 2 Ca 2.90
Li: 0.0000 0.1301 0.3133  2 Br 2.64
Li: 0.0000 0.8699 0.6867  2 Br 2.64
Ca: 0.5000 0.5000 0.0000  2 Br 2.90

Values from the calculation:
* M_tot: 0.00 Bohr magnetons per cell
* uncorrected formation energy: -0.608 eV/atom
* energy above the most stable polymorph in this dataset: 0 meV/atom

---

Below is Li2CaBr after structural relaxation, with properties calculated at the PBEsol level.

Cell lengths 3.4634, 3.4634, 8.6553 Å; angles 90.00, 90.00, 90.00 degrees
Last column: nearest neighbours and their distance in Å.
Positions (direct):
Br: 0.5000 0.5000 0.0000  8 Li 2.90
Li: 0.0000 0.0000 0.8213  4 Br 2.90, 1 Li 3.09
Li: 0.0000 0.0000 0.1787  4 Br 2.90, 1 Li 3.09
Ca: 0.5000 0.5000 0.5000  4 Ca 3.46, 8 Li 3.71

Values from the calculation:
* M_tot: 0.00 Bohr magnetons per cell
* uncorrected formation energy: -0.558 eV/atom
* energy above the most stable polymorph in this dataset: 50 meV/atom

---

Below is LiCaSi2Br after structural relaxation, with properties calculated at the PBEsol level.

Cell lengths 5.4621, 5.4542, 5.4542 Å; angles 90.00, 90.00, 90.00 degrees
Last column: nearest neighbours and their distance in Å.
Positions (direct):
Br: 0.5000 0.0000 0.0000  2 Ca 2.73
Li: 0.5000 0.5000 0.5000  4 Br 3.86, 8 Si 3.86
Ca: 0.0000 0.0000 0.0000  4 Si 2.73, 2 Br 2.73
Si: 0.0000 0.0000 0.5000  2 Ca 2.73
Si: 0.0000 0.5000 0.0000  2 Ca 2.73

Values from the calculation:
* M_tot: 0.92 Bohr magnetons per cell
* uncorrected formation energy: 0.576 eV/atom

---

Below is Ca2MgBr after structural relaxation, with properties calculated at the PBEsol level.

Cell lengths 3.7296, 4.0349, 8.6416 Å; angles 89.92, 90.00, 90.00 degrees
Last column: nearest neighbours and their distance in Å.
Positions (direct):
Ca: 0.0000 0.5008 0.2684  2 Br 2.98
Ca: 0.0000 0.4992 0.7316  2 Br 2.98
Mg: 0.5000 0.0000 0.5000  8 Ca 3.40, 2 Mg 3.73
Br: 0.5000 0.5000 0.0000  4 Ca 2.98

Values from the calculation:
* M_tot: 0.00 Bohr magnetons per cell
* uncorrected formation energy: -0.686 eV/atom
* energy above the most stable polymorph in this dataset: 0 meV/atom

---

Below is Ca2MgBr after structural relaxation, with properties calculated at the PBEsol level.

Cell lengths 5.7155, 5.7155, 5.7155 Å; angles 60.00, 60.00, 60.00 degrees
Last column: nearest neighbours and their distance in Å.
Positions (direct):
Br: 0.5000 0.5000 0.5000  4 Mg 3.50, 4 Ca 3.50
Ca: 0.0000 0.0000 0.0000  4 Ca 3.50, 4 Mg 3.50
Ca: 0.7500 0.7500 0.7500  4 Br 3.50, 4 Ca 3.50
Mg: 0.2500 0.2500 0.2500  4 Ca 3.50, 4 Br 3.50

Values from the calculation:
* M_tot: 0.00 Bohr magnetons per cell
* uncorrected formation energy: -0.120 eV/atom
* energy above the most stable polymorph in this dataset: 566 meV/atom

---

Below is CaMg3Br after structural relaxation, with properties calculated at the PBEsol level.

Cell lengths 5.3944, 5.3944, 5.3944 Å; angles 90.00, 90.00, 90.00 degrees
Last column: nearest neighbours and their distance in Å.
Positions (direct):
Mg: 0.5000 0.0000 0.0000  2 Br 2.70
Mg: 0.0000 0.0000 0.5000  2 Br 2.70
Mg: 0.0000 0.5000 0.0000  2 Br 2.70
Br: 0.0000 0.0000 0.0000  6 Mg 2.70
Ca: 0.5000 0.5000 0.5000  12 Mg 3.81

Values from the calculation:
* M_tot: 0.00 Bohr magnetons per cell
* uncorrected formation energy: 0.101 eV/atom

---

Below is Ca2MgBr after structural relaxation, with properties calculated at the PBEsol level.

Cell lengths 5.0896, 5.0896, 5.8897 Å; angles 115.60, 115.60, 90.00 degrees
Last column: nearest neighbours and their distance in Å.
Positions (direct):
Ca: 0.2500 0.7500 0.5000  4 Br 3.45, 4 Mg 3.45, 4 Ca 3.60
Ca: 0.7500 0.2500 0.5000  4 Br 3.45, 4 Mg 3.45, 4 Ca 3.60
Br: 0.0000 0.0000 0.0000  8 Ca 3.45, 4 Mg 3.60
Mg: 0.5000 0.5000 0.0000  8 Ca 3.45, 4 Br 3.60

Values from the calculation:
* M_tot: 0.00 Bohr magnetons per cell
* uncorrected formation energy: -0.411 eV/atom
* energy above the most stable polymorph in this dataset: 275 meV/atom

---

Below is SrCa2MgBr after structural relaxation, with properties calculated at the PBEsol level.

Cell lengths 5.5270, 6.2833, 6.2833 Å; angles 90.00, 90.00, 90.00 degrees
Last column: nearest neighbours and their distance in Å.
Positions (direct):
Br: 0.5000 0.0000 0.0000  2 Mg 2.76
Sr: 0.5000 0.5000 0.5000  8 Ca 4.18, 4 Br 4.44
Ca: 0.0000 0.5000 0.0000  2 Mg 3.14
Ca: 0.0000 0.0000 0.5000  2 Mg 3.14
Mg: 0.0000 0.0000 0.0000  2 Br 2.76

Values from the calculation:
* M_tot: 0.00 Bohr magnetons per cell
* uncorrected formation energy: 0.016 eV/atom

---

Below is CaMnBr3 after structural relaxation, with properties calculated at the PBEsol level.

Cell lengths 5.1226, 5.1226, 5.1226 Å; angles 90.00, 90.00, 90.00 degrees
Last column: nearest neighbours and their distance in Å.
Positions (direct):
Br: 0.5000 0.0000 0.0000  2 Mn 2.56
Br: 0.0000 0.0000 0.5000  2 Mn 2.56
Br: 0.0000 0.5000 0.0000  2 Mn 2.56
Mn: 0.0000 0.0000 0.0000  6 Br 2.56
Ca: 0.5000 0.5000 0.5000  12 Br 3.62

Values from the calculation:
* M_tot: 4.36 Bohr magnetons per cell
* uncorrected formation energy: -0.772 eV/atom

---

Below is Ca2MnBr after structural relaxation, with properties calculated at the PBEsol level.

Cell lengths 3.6284, 4.9547, 6.0660 Å; angles 96.63, 107.40, 90.00 degrees
Last column: nearest neighbours and their distance in Å.
Positions (direct):
Ca: 0.2686 0.6070 0.5372  3 Mn 3.02-3.33, 4 Br 3.09-3.18
Ca: 0.9847 0.1529 0.9694  4 Mn 3.09-3.14, 3 Br 3.10-3.28
Mn: 0.5313 0.6594 0.0626  1 Br 2.80, 3 Ca 3.02-3.09
Br: 0.7154 0.0806 0.4307  1 Mn 2.80, 3 Ca 3.09-3.10

Values from the calculation:
* M_tot: 3.31 Bohr magnetons per cell
* uncorrected formation energy: -0.179 eV/atom
* energy above the most stable polymorph in this dataset: 0 meV/atom

---

Below is Ca2MnBr after structural relaxation, with properties calculated at the PBEsol level.

Cell lengths 3.4504, 5.4400, 5.4400 Å; angles 90.00, 90.00, 90.00 degrees
Last column: nearest neighbours and their distance in Å.
Positions (direct):
Ca: 0.0000 0.0000 0.5000  4 Mn 3.22, 4 Br 3.22, 2 Ca 3.45
Ca: 0.0000 0.5000 0.0000  4 Mn 3.22, 4 Br 3.22, 2 Ca 3.45
Br: 0.5000 0.0000 0.0000  8 Ca 3.22, 2 Br 3.45
Mn: 0.5000 0.5000 0.5000  8 Ca 3.22, 2 Mn 3.45

Values from the calculation:
* M_tot: 3.39 Bohr magnetons per cell
* uncorrected formation energy: -0.165 eV/atom
* energy above the most stable polymorph in this dataset: 14 meV/atom

---

Below is CaMn2Br after structural relaxation, with properties calculated at the PBEsol level.

Cell lengths 3.4062, 3.5856, 7.1979 Å; angles 104.42, 90.00, 90.00 degrees
Last column: nearest neighbours and their distance in Å.
Positions (direct):
Ca: 0.5000 0.6902 0.3805  4 Br 2.96, 5 Mn 3.01-3.18
Br: 0.0000 0.3075 0.6150  2 Mn 2.88, 4 Ca 2.96
Mn: 0.5000 0.4743 0.9486  4 Mn 2.67, 2 Br 2.88
Mn: 0.0000 0.0467 0.0934  4 Mn 2.67

Values from the calculation:
* M_tot: 7.45 Bohr magnetons per cell
* uncorrected formation energy: 0.183 eV/atom
* energy above the most stable polymorph in this dataset: 0 meV/atom